No. 1
Crystalline TlCu2Tc at its relaxed geometry, computed with PBE-GGA.

**Energy above the most stable polymorph in this dataset**: 34 meV/atom
**ΔH_f (0 K)**: 46.4 kJ/mol of atoms
**E_tot**: -19.0 eV/cell

a = 3.858 Å, b = 2.840 Å, c = 6.432 Å
α = 63.70°, β = 90.00°, γ = 90.00°
Positions (direct):
Cu: 0.000 0.965 0.037
Cu: 0.000 0.535 0.463
Tc: 0.500 0.250 0.250
Tl: 0.500 0.750 0.750

No. 2
Crystalline TlCuTc at its relaxed geometry, computed with PBE-GGA.

**Energy above the most stable polymorph in this dataset**: 0 meV/atom
**ΔH_f (0 K)**: 63.8 kJ/mol of atoms
**E_tot**: -14.8 eV/cell

a = 5.761 Å, b = 5.762 Å, c = 3.086 Å
α = 74.45°, β = 74.48°, γ = 31.06°
Site moments in Bohr magnetons follow the coordinates.
Positions (direct):
Cu: 0.013 0.013 0.987  0.10
Tc: 0.649 0.649 0.351  1.20
Tl: 0.338 0.338 0.662  0.01

No. 3
Crystalline Tl2CuTc at its relaxed geometry, computed with PBE-GGA.

**Energy above the most stable polymorph in this dataset**: 372 meV/atom
**ΔH_f (0 K)**: 89.6 kJ/mol of atoms
**E_tot**: -31.0 eV/cell

a = 4.277 Å, b = 4.277 Å, c = 9.902 Å
α = 77.53°, β = 77.53°, γ = 90.00°
Site moments in Bohr magnetons follow the coordinates.
Positions (direct):
Tl: 0.625 0.125 0.250  -0.03
Tl: 0.125 0.625 0.250  -0.03
Tl: 0.375 0.375 0.750  -0.03
Tl: 0.875 0.875 0.750  -0.03
Tc: 0.000 0.000 0.000  1.32
Tc: 0.750 0.250 0.500  1.34
Cu: 0.500 0.500 0.000  0.00
Cu: 0.250 0.750 0.500  0.00

No. 4
Crystalline Tl2CuTc at its relaxed geometry, computed with PBE-GGA.

**Energy above the most stable polymorph in this dataset**: 347 meV/atom
**ΔH_f (0 K)**: 87.2 kJ/mol of atoms
**E_tot**: -15.6 eV/cell

a = 4.871 Å, b = 4.871 Å, c = 4.871 Å
α = 60.00°, β = 60.00°, γ = 60.00°
Site moments in Bohr magnetons follow the coordinates.
Positions (direct):
Cu: 0.500 0.500 0.500  0.07
Tc: 0.750 0.750 0.750  2.31
Tl: 0.000 0.000 0.000  0.00
Tl: 0.250 0.250 0.250  0.03

No. 5
Crystalline TlCuTc2 at its relaxed geometry, computed with PBE-GGA.

**Energy above the most stable polymorph in this dataset**: 419 meV/atom
**ΔH_f (0 K)**: 71.9 kJ/mol of atoms
**E_tot**: -24.2 eV/cell

a = 9.092 Å, b = 9.092 Å, c = 9.092 Å
α = 18.31°, β = 18.31°, γ = 18.31°
Positions (direct):
Cu: 0.750 0.750 0.750
Tc: 0.007 0.007 0.007
Tc: 0.493 0.493 0.493
Tl: 0.250 0.250 0.250

No. 6
Crystalline TlCu2Tc at its relaxed geometry, computed with PBE-GGA.

**Energy above the most stable polymorph in this dataset**: 52 meV/atom
**ΔH_f (0 K)**: 48.2 kJ/mol of atoms
**E_tot**: -18.9 eV/cell

a = 4.875 Å, b = 4.875 Å, c = 2.796 Å
α = 90.09°, β = 90.09°, γ = 110.33°
Positions (direct):
Cu: 0.000 0.000 0.000
Cu: 0.500 0.500 0.000
Tc: 0.500 0.000 0.500
Tl: 0.000 0.500 0.500

No. 7
Crystalline Tl2CuTc at its relaxed geometry, computed with PBE-GGA.

**Energy above the most stable polymorph in this dataset**: 117 meV/atom
**ΔH_f (0 K)**: 65.0 kJ/mol of atoms
**E_tot**: -16.5 eV/cell

a = 9.132 Å, b = 9.132 Å, c = 9.132 Å
α = 19.91°, β = 19.91°, γ = 19.91°
Site moments in Bohr magnetons follow the coordinates.
Positions (direct):
Cu: 0.750 0.750 0.750  0.00
Tc: 0.250 0.250 0.250  0.81
Tl: 0.002 0.002 0.002  -0.01
Tl: 0.498 0.498 0.498  -0.01

No. 8
Crystalline TlCuTc2 at its relaxed geometry, computed with PBE-GGA.

**Energy above the most stable polymorph in this dataset**: 194 meV/atom
**ΔH_f (0 K)**: 50.3 kJ/mol of atoms
**E_tot**: -25.1 eV/cell

a = 4.687 Å, b = 4.687 Å, c = 5.025 Å
α = 81.78°, β = 81.78°, γ = 36.34°
Positions (direct):
Cu: 0.254 0.254 0.246
Tc: 0.000 0.000 0.977
Tc: 0.745 0.745 0.800
Tl: 0.500 0.500 0.477

No. 9
Crystalline TlCuTc2 at its relaxed geometry, computed with PBE-GGA.

**Energy above the most stable polymorph in this dataset**: 225 meV/atom
**ΔH_f (0 K)**: 53.3 kJ/mol of atoms
**E_tot**: -25.0 eV/cell

a = 4.754 Å, b = 4.754 Å, c = 4.754 Å
α = 129.00°, β = 129.00°, γ = 75.02°
Positions (direct):
Cu: 0.750 0.250 0.500
Tc: 0.000 0.000 0.000
Tc: 0.250 0.750 0.500
Tl: 0.500 0.500 0.000

No. 10
Crystalline TlCu2Tc at its relaxed geometry, computed with PBE-GGA.

**Energy above the most stable polymorph in this dataset**: 63 meV/atom
**ΔH_f (0 K)**: 49.2 kJ/mol of atoms
**E_tot**: -18.9 eV/cell

a = 4.794 Å, b = 4.794 Å, c = 5.003 Å
α = 81.04°, β = 81.04°, γ = 34.55°
Positions (direct):
Cu: 0.010 0.010 0.953
Cu: 0.490 0.490 0.547
Tc: 0.750 0.750 0.750
Tl: 0.250 0.250 0.250

No. 11
Crystalline TlCuTc2 at its relaxed geometry, computed with PBE-GGA.

**Energy above the most stable polymorph in this dataset**: 232 meV/atom
**ΔH_f (0 K)**: 53.9 kJ/mol of atoms
**E_tot**: -25.0 eV/cell

a = 4.912 Å, b = 4.912 Å, c = 4.666 Å
α = 78.18°, β = 78.18°, γ = 36.37°
Positions (direct):
Cu: 0.250 0.250 0.250
Tc: 0.993 0.993 0.043
Tc: 0.507 0.507 0.457
Tl: 0.750 0.750 0.750

No. 12
Crystalline TlCu2Tc at its relaxed geometry, computed with PBE-GGA.

**Energy above the most stable polymorph in this dataset**: 77 meV/atom
**ΔH_f (0 K)**: 50.6 kJ/mol of atoms
**E_tot**: -18.8 eV/cell

a = 4.214 Å, b = 2.810 Å, c = 5.441 Å
α = 74.98°, β = 90.00°, γ = 90.00°
Positions (direct):
Cu: 0.000 0.181 0.014
Cu: 0.500 0.058 0.261
Tc: 0.000 0.458 0.458
Tl: 0.500 0.804 0.767